(1)
TaTc2Ru: relaxed, PBE.

a = 7.182 Å, b = 7.182 Å, c = 5.692 Å
α = 50.89°, β = 50.89°, γ = 90.00°
Fractional positions:
Ta (0.750, 0.250, 0.500)
Ru (0.500, 0.500, 0.000)
Tc (0.140, 0.625, 0.250)
Tc (0.610, 0.125, 0.250)
Tc (0.875, 0.860, 0.750)
Tc (0.375, 0.390, 0.750)
Ta (0.000, 0.000, 0.000)
Ru (0.250, 0.750, 0.500)

Properties
Fermi-level density of states   10.2 states/eV/cell
Space group   I-42d
Excess energy over the best structure of this formula in the dataset   0.634 eV per atom
Size of the total moment   0.0 μB/f.u.



(2)
SmAl3Rh: relaxed, PBE.

a = 6.397 Å, b = 6.397 Å, c = 11.214 Å
α = 90.00°, β = 90.00°, γ = 120.00°
Fractional positions:
Al (0.500, 0.500, 0.500)
Sm (0.667, 0.333, 0.750)
Al (0.500, 0.000, 0.000)
Al (0.141, 0.859, 0.750)
Sm (0.000, 0.000, 0.000)
Al (0.281, 0.141, 0.250)
Al (0.719, 0.859, 0.750)
Sm (0.333, 0.667, 0.250)
Al (0.859, 0.141, 0.250)
Rh (0.667, 0.333, 0.126)
Rh (0.333, 0.667, 0.874)
Rh (0.667, 0.333, 0.374)
Al (0.000, 0.500, 0.500)
Al (0.859, 0.719, 0.250)
Al (0.500, 0.000, 0.500)
Sm (0.000, 0.000, 0.500)
Rh (0.333, 0.667, 0.626)
Al (0.500, 0.500, 0.000)
Al (0.000, 0.500, 0.000)
Al (0.141, 0.281, 0.750)

Properties
Fermi-level density of states   10.9 states/eV/cell
Space group   P6_3/mmc
Excess energy over the best structure of this formula in the dataset   0.010 eV per atom
Size of the total moment   0.0 μB/f.u.